Arrangement w

TlHg2Au: PBEsol geometry, SCAN.

```
TlHg2Au
1.0
-2.515 2.515 3.571
2.515 -2.515 3.571
2.515 2.515 -3.571
Tl Hg Au
1 2 1
Cartesian
0.000 0.000 0.000 Tl
2.515 0.000 1.786 Hg
0.000 0.000 3.571 Hg
0.000 2.515 1.786 Au
```

total magnetization	0.000	μB per atom
calculated volume	90	Å³ per cell

---

Arrangement x

TlHg2Au: PBEsol geometry, SCAN.

```
TlHg2Au
1.0
4.387 -1.900 0.000
4.387 1.900 0.000
-1.744 0.000 5.645
Tl Hg Au
1 2 1
Cartesian
0.000 0.000 0.000 Tl
0.854 0.000 3.971 Hg
3.453 0.000 2.570 Hg
6.095 0.000 1.402 Au
```

total magnetization	0.000	μB per atom
calculated volume	94	Å³ per cell

---

In order of decreasing stability: arrangement x, arrangement w.

---

Arrangement w

AlIr2Se: PBEsol geometry, SCAN.

```
AlIr2Se
1.0
1.496 0.864 7.896
-1.496 0.864 7.896
0.000 -1.727 7.896
Al Ir Se
1 2 1
Cartesian
0.000 0.000 0.000 Al
0.000 0.000 11.855 Ir
0.000 0.000 17.567 Ir
0.000 0.000 5.768 Se
```

total magnetization	0.000	μB per atom
calculated volume	61	Å³ per cell

---

Arrangement x

AlIr2Se: PBEsol geometry, SCAN.

```
AlIr2Se
1.0
2.836 0.000 0.000
0.000 4.234 0.000
-1.149 0.000 5.120
Al Ir Se
1 2 1
Cartesian
0.000 0.000 0.000 Al
0.799 2.117 1.176 Ir
0.887 2.117 3.944 Ir
0.843 0.000 2.560 Se
```

total magnetization	0.000	μB per atom
calculated volume	61	Å³ per cell

---

In order of decreasing stability: arrangement x, arrangement w.

---

Arrangement w

Cl: PBEsol geometry, SCAN.

```
Cl
1.0
-1.689 1.689 1.689
1.689 -1.689 1.689
1.689 1.689 -1.689
Cl
1
Cartesian
0.000 0.000 0.000 Cl
```

total magnetization	0.930	μB per atom
calculated volume	19	Å³ per cell

---

Arrangement x

Cl: PBEsol geometry, SCAN.

```
Cl
1.0
10.497 0.000 0.000
0.000 10.497 0.000
0.000 0.000 8.558
Cl
16
Cartesian
1.161 6.829 0.948 Cl
1.161 8.916 5.226 Cl
1.581 6.409 7.610 Cl
1.581 9.336 3.331 Cl
3.667 6.409 3.331 Cl
3.667 9.336 7.610 Cl
4.087 6.829 5.226 Cl
4.087 8.916 0.948 Cl
6.409 1.581 7.610 Cl
6.409 3.667 3.331 Cl
6.829 1.161 0.948 Cl
6.829 4.087 5.226 Cl
8.916 1.161 5.226 Cl
8.916 4.087 0.948 Cl
9.336 1.581 3.331 Cl
9.336 3.667 7.610 Cl
```

total magnetization	0.000	μB per atom
calculated volume	943	Å³ per cell

---

In order of decreasing stability: arrangement x, arrangement w.

---

Arrangement w

LiTa2Al: PBEsol geometry, SCAN.

```
LiTa2Al
1.0
1.414 0.817 9.905
-1.414 0.817 9.905
0.000 -1.633 9.905
Li Ta Al
1 2 1
Cartesian
0.000 0.000 0.000 Li
0.000 0.000 7.307 Ta
0.000 0.000 22.407 Ta
0.000 0.000 14.857 Al
```

total magnetization	0.000	μB per atom
calculated volume	69	Å³ per cell

---

Arrangement x

LiTa2Al: PBEsol geometry, SCAN.

```
LiTa2Al
1.0
2.786 0.000 0.000
0.000 4.268 0.000
-1.385 0.000 5.455
Li Ta Al
1 2 1
Cartesian
0.000 0.000 0.000 Li
-0.001 0.000 2.797 Ta
1.391 2.134 1.297 Ta
1.393 2.134 4.111 Al
```

total magnetization	0.000	μB per atom
calculated volume	65	Å³ per cell

---

In order of decreasing stability: arrangement x, arrangement w.

---

Arrangement w

MgCdPb2: PBEsol geometry, SCAN.

```
MgCdPb2
1.0
5.074 -1.730 0.000
5.074 1.730 0.000
-1.169 0.000 5.943
Mg Cd Pb
1 1 2
Cartesian
0.000 0.000 0.000 Mg
4.490 0.000 2.971 Cd
1.666 0.000 4.466 Pb
7.313 0.000 1.476 Pb
```

total magnetization	0.000	μB per atom
calculated volume	104	Å³ per cell

---

Arrangement x

MgCdPb2: PBEsol geometry, SCAN.

```
MgCdPb2
1.0
3.429 0.000 0.000
0.000 3.429 0.000
0.000 0.000 8.694
Mg Cd Pb
1 1 2
Cartesian
0.000 0.000 0.000 Mg
1.714 1.714 1.800 Cd
0.000 0.000 3.981 Pb
1.714 1.714 6.554 Pb
```

total magnetization	0.000	μB per atom
calculated volume	102	Å³ per cell

---

In order of decreasing stability: arrangement x, arrangement w.

---

Arrangement w

TaRuW2: PBEsol geometry, SCAN.

```
TaRuW2
1.0
1.396 0.806 9.349
-1.396 0.806 9.349
0.000 -1.612 9.349
Ta Ru W
1 1 2
Cartesian
0.000 0.000 0.000 Ta
0.000 0.000 7.044 Ru
0.000 0.000 14.269 W
0.000 0.000 21.200 W
```

total magnetization	0.000	μB per atom
calculated volume	63	Å³ per cell

---

Arrangement x

TaRuW2: PBEsol geometry, SCAN.

```
TaRuW2
1.0
2.613 -4.371 0.000
2.613 4.371 0.000
0.000 0.000 2.768
Ta Ru W
1 1 2
Cartesian
0.000 0.000 0.000 Ta
2.613 0.000 0.000 Ru
1.306 2.185 1.384 W
1.306 -2.185 1.384 W
```

total magnetization	0.000	μB per atom
calculated volume	63	Å³ per cell

---

In order of decreasing stability: arrangement x, arrangement w.